--- one ---
Compound: KBiTe
Source: Alexandria
Functional: PBE
Structure: relaxed

a = 8.602 Å, b = 8.602 Å, c = 6.623 Å
α = 90.00°, β = 90.00°, γ = 90.00°
Fractional coordinates of all 12 atoms:
K 0.000 0.286 0.000
K 0.000 0.714 0.000
K 0.286 0.000 0.500
K 0.714 0.000 0.500
Bi 0.280 0.500 0.500
Bi 0.500 0.280 0.000
Bi 0.500 0.720 0.000
Bi 0.720 0.500 0.500
Te 0.000 0.276 0.500
Te 0.000 0.724 0.500
Te 0.276 0.000 0.000
Te 0.724 0.000 0.000

## Properties
crystal system	tetragonal



--- two ---
Compound: KBiTe
Source: Alexandria
Functional: PBE
Structure: relaxed

a = 5.231 Å, b = 5.231 Å, c = 5.404 Å
α = 90.00°, β = 90.00°, γ = 120.00°
Fractional coordinates of all 3 atoms:
K 0.000 0.000 0.000
Bi 0.333 0.667 0.462
Te 0.667 0.333 0.587

## Properties
crystal system	trigonal



Tell me which of them is the least stable. Sure, it is one.



--- one ---
Compound: K2BiTe2
Source: Alexandria
Functional: PBE
Structure: relaxed

a = 8.714 Å, b = 8.714 Å, c = 4.900 Å
α = 90.00°, β = 90.00°, γ = 90.00°
Fractional coordinates of all 10 atoms:
K 0.137 0.363 0.000
K 0.363 0.863 0.000
K 0.637 0.137 0.000
K 0.863 0.637 0.000
Bi 0.000 0.000 0.500
Bi 0.500 0.500 0.500
Te 0.173 0.673 0.500
Te 0.327 0.173 0.500
Te 0.673 0.827 0.500
Te 0.827 0.327 0.500

## Properties
crystal system	tetragonal



--- two ---
Compound: K2BiTe2
Source: Alexandria
Functional: PBE
Structure: relaxed

a = 10.468 Å, b = 10.468 Å, c = 7.121 Å
α = 90.00°, β = 90.00°, γ = 148.66°
Fractional coordinates of all 10 atoms:
K 0.012 0.988 0.500
K 0.203 0.797 0.746
K 0.797 0.203 0.246
K 0.988 0.012 0.000
Bi 0.395 0.605 0.679
Bi 0.605 0.395 0.179
Te 0.163 0.837 0.235
Te 0.418 0.582 0.275
Te 0.582 0.418 0.775
Te 0.837 0.163 0.735

## Properties
crystal system	orthorhombic



Tell me which of them is the least stable. Sure, it is one.



--- one ---
Compound: K2BiTe
Source: Alexandria
Functional: PBE
Structure: relaxed

a = 5.926 Å, b = 5.926 Å, c = 5.926 Å
α = 60.00°, β = 60.00°, γ = 60.00°
Fractional coordinates of all 4 atoms:
K 0.250 0.250 0.250
K 0.750 0.750 0.750
Bi 0.000 0.000 0.000
Te 0.500 0.500 0.500

## Properties
crystal system	cubic



--- two ---
Compound: K2BiTe
Source: Alexandria
Functional: PBE
Structure: relaxed

a = 7.683 Å, b = 7.683 Å, c = 7.683 Å
α = 100.41°, β = 100.41°, γ = 129.70°
Fractional coordinates of all 8 atoms:
K 0.101 0.625 0.976
K 0.375 0.351 0.476
K 0.649 0.125 0.024
K 0.875 0.899 0.524
Bi 0.250 0.750 0.500
Bi 0.500 0.500 0.000
Te 0.000 0.000 0.000
Te 0.750 0.250 0.500

## Properties
crystal system	tetragonal



Tell me which of them is the least stable. Sure, it is one.



--- one ---
Compound: KBiTe3
Source: Alexandria
Functional: PBE
Structure: relaxed

a = 6.031 Å, b = 6.031 Å, c = 6.031 Å
α = 90.00°, β = 90.00°, γ = 90.00°
Fractional coordinates of all 5 atoms:
K 0.000 0.000 0.000
Bi 0.500 0.500 0.500
Te 0.000 0.500 0.500
Te 0.500 0.000 0.500
Te 0.500 0.500 0.000

## Properties
crystal system	cubic



--- two ---
Compound: KBiTe3
Source: Alexandria
Functional: PBE
Structure: relaxed

a = 5.921 Å, b = 5.921 Å, c = 5.921 Å
α = 90.00°, β = 90.00°, γ = 90.00°
Fractional coordinates of all 5 atoms:
K 0.000 0.000 0.000
Bi 0.500 0.500 0.500
Te 0.000 0.000 0.500
Te 0.000 0.500 0.000
Te 0.500 0.000 0.000

## Properties
crystal system	cubic



Tell me which of them is the least stable. Sure, it is two.



--- one ---
Compound: KThBi2
Source: Alexandria
Functional: PBE
Structure: relaxed

a = 8.935 Å, b = 8.935 Å, c = 8.935 Å
α = 30.49°, β = 30.49°, γ = 30.49°
Fractional coordinates of all 4 atoms:
K 0.000 0.000 0.000
Th 0.500 0.500 0.500
Bi 0.237 0.237 0.237
Bi 0.763 0.763 0.763

## Properties
crystal system	trigonal



--- two ---
Compound: KThBi2
Source: Alexandria
Functional: PBE
Structure: relaxed

a = 4.206 Å, b = 4.206 Å, c = 8.135 Å
α = 90.00°, β = 90.00°, γ = 90.00°
Fractional coordinates of all 4 atoms:
K 0.000 0.000 0.000
Th 0.000 0.000 0.500
Bi 0.500 0.500 0.295
Bi 0.500 0.500 0.705

## Properties
crystal system	tetragonal



--- three ---
Compound: KThBi2
Source: Alexandria
Functional: PBE
Structure: relaxed

a = 9.132 Å, b = 9.132 Å, c = 9.132 Å
α = 29.46°, β = 29.46°, γ = 29.46°
Fractional coordinates of all 4 atoms:
K 0.000 0.000 0.000
Th 0.170 0.170 0.170
Bi 0.573 0.573 0.573
Bi 0.765 0.765 0.765

## Properties
crystal system	trigonal



Tell me which of them is the least stable. Sure, it is three.



--- one ---
Compound: KTi3Bi
Source: Alexandria
Functional: PBE
Structure: relaxed

a = 4.751 Å, b = 4.751 Å, c = 4.751 Å
α = 90.00°, β = 90.00°, γ = 90.00°
Fractional coordinates of all 5 atoms:
K 0.000 0.000 0.000
Ti 0.000 0.000 0.500
Ti 0.000 0.500 0.000
Ti 0.500 0.000 0.000
Bi 0.500 0.500 0.500

## Properties
crystal system	cubic



--- two ---
Compound: KTi3Bi
Source: Alexandria
Functional: PBE
Structure: relaxed

a = 5.480 Å, b = 5.480 Å, c = 5.480 Å
α = 90.00°, β = 90.00°, γ = 90.00°
Fractional coordinates of all 5 atoms:
K 0.000 0.000 0.000
Ti 0.000 0.500 0.500
Ti 0.500 0.000 0.500
Ti 0.500 0.500 0.000
Bi 0.500 0.500 0.500

## Properties
crystal system	cubic



Tell me which of them is the least stable. Sure, it is one.